# Ag2OsBr, relaxed, DFT PBE
data_Ag2OsBr
_cell_length_a 4.546
_cell_length_b 2.905
_cell_length_c 11.061
_cell_angle_alpha 90.00
_cell_angle_beta 90.00
_cell_angle_gamma 90.00
_symmetry_space_group_name_H-M 'A m m 2'
_symmetry_Int_Tables_number 38
loop_
_symmetry_equiv_pos_as_xyz
'x,y,z'
'-x,-y,z'
'-x,y,z'
'x,-y,z'
'x,y+1/2,z+1/2'
'-x,-y+1/2,z+1/2'
'-x,y+1/2,z+1/2'
'x,-y+1/2,z+1/2'
loop_
_atom_site_label
_atom_site_type_symbol
_atom_site_fract_x
_atom_site_fract_y
_atom_site_fract_z
Ag1 Ag 0.000 0.000 0.000
Ag2 Ag 0.500 0.000 0.384
Os1 Os 0.000 0.000 0.741
Br1 Br 0.500 0.000 0.654
# uncorrected formation energy = 0.819 eV per atom
# size of the total moment = 0.000 μB per atom
# energy above the most stable polymorph in this dataset = 156 meV per atom
# density of states at the Fermi level = 0.6527 states/eV per atom
# V = 18.26 Å³/atom